1.
Below is a relaxed Pu3TcIr crystal, with properties calculated at the PBE-GGA level.

Cell lengths 7.5321, 7.5321, 9.4433 Å; angles 78.19, 78.19, 44.80 degrees
Each line ends with the local moment (μB).
Element x y z (fractional)
Pu 0.3903 0.1779 0.3088  4.07
Pu 0.8722 0.8851 0.2787  -3.58
Pu 0.9098 0.2097 0.4713  1.39
Pu 0.1149 0.1278 0.2213  -3.58
Pu 0.1779 0.3903 0.8088  4.07
Pu 0.1278 0.1149 0.7213  -3.58
Pu 0.0902 0.7903 0.5287  1.39
Pu 0.8221 0.6097 0.1912  4.07
Pu 0.7903 0.0902 0.0287  1.39
Pu 0.8851 0.8722 0.7787  -3.58
Pu 0.6097 0.8221 0.6912  4.07
Pu 0.2097 0.9098 0.9713  1.39
Tc 0.5144 0.2951 0.5246  -0.25
Tc 0.4856 0.7049 0.4754  -0.25
Tc 0.7049 0.4856 0.9754  -0.25
Tc 0.2951 0.5144 0.0246  -0.25
Ir 0.0000 0.5000 0.5000  -0.14
Ir 0.5203 0.4797 0.7500  -0.04
Ir 0.5000 0.0000 0.0000  -0.14
Ir 0.4797 0.5203 0.2500  -0.04

Properties
Energy of formation in eV/atom: 0.03
Total magnetization in μB/f.u.: 1.585
Fermi-level density of states in states/eV/f.u.: 11.7
Space-group type: C2/c, No. 15



2.
Below is a relaxed PuUTcIr crystal, with properties calculated at the PBE-GGA level.

Cell lengths 4.8018, 4.8018, 4.8018 Å; angles 60.00, 60.00, 60.00 degrees
Each line ends with the local moment (μB).
Element x y z (fractional)
Tc 0.5000 0.5000 0.5000  -0.69
Ir 0.0000 0.0000 0.0000  -0.32
U 0.2500 0.2500 0.2500  1.70
Pu 0.7500 0.7500 0.7500  4.86

Properties
Energy of formation in eV/atom: -0.16
Total magnetization in μB/f.u.: 5.890
Fermi-level density of states in states/eV/f.u.: 8.7
Space-group type: F-43m, No. 216



3.
Below is a relaxed YPuTcIr crystal, with properties calculated at the PBE-GGA level.

Cell lengths 4.8217, 4.8217, 4.8217 Å; angles 60.00, 60.00, 60.00 degrees
Each line ends with the local moment (μB).
Element x y z (fractional)
Tc 0.7500 0.7500 0.7500  -0.71
Ir 0.2500 0.2500 0.2500  -0.24
Pu 0.5000 0.5000 0.5000  4.76
Y 0.0000 0.0000 0.0000  0.02

Properties
Energy of formation in eV/atom: -0.27
Total magnetization in μB/f.u.: 3.925
Fermi-level density of states in states/eV/f.u.: 4.5
Space-group type: F-43m, No. 216



4.
Below is a relaxed PuZnTcIr crystal, with properties calculated at the PBE-GGA level.

Cell lengths 4.5552, 4.5552, 4.5552 Å; angles 60.00, 60.00, 60.00 degrees
Each line ends with the local moment (μB).
Element x y z (fractional)
Zn 0.2500 0.2500 0.2500  0.00
Pu 0.7500 0.7500 0.7500  4.50
Ir 0.5000 0.5000 0.5000  -0.26
Tc 0.0000 0.0000 0.0000  -0.77

Properties
Energy of formation in eV/atom: -0.17
Total magnetization in μB/f.u.: 3.501
Fermi-level density of states in states/eV/f.u.: 5.7
Space-group type: F-43m, No. 216



5.
Below is a relaxed PuZrTcIr crystal, with properties calculated at the PBE-GGA level.

Cell lengths 4.7310, 4.7310, 4.7310 Å; angles 60.00, 60.00, 60.00 degrees
Each line ends with the local moment (μB).
Element x y z (fractional)
Zr 0.2500 0.2500 0.2500  0.15
Pu 0.7500 0.7500 0.7500  4.79
Tc 0.5000 0.5000 0.5000  -0.42
Ir 0.0000 0.0000 0.0000  -0.15

Properties
Energy of formation in eV/atom: -0.37
Total magnetization in μB/f.u.: 4.557
Fermi-level density of states in states/eV/f.u.: 5.0
Space-group type: F-43m, No. 216



6.
Below is a relaxed PuThTeIr crystal, with properties calculated at the PBE-GGA level.

Cell lengths 4.1694, 4.1694, 7.9304 Å; angles 90.00, 105.24, 120.00 degrees
Each line ends with the local moment (μB).
Element x y z (fractional)
Ir 0.3025 0.5492 0.8668  -0.13
Pu 0.4998 0.1478 0.6629  5.18
Th 0.1040 0.9500 0.0693  0.05
Te 0.9717 0.3838 0.3707  -0.05

Properties
Formation energy from raw total energies in eV per atom: -0.889
Total magnetization in μB/f.u.: 5.355
Fermi-level density of states in states/eV/f.u.: 11.0
Space-group type: R3m, No. 160



7.
Below is a relaxed Pu2ThIr crystal, with properties calculated at the PBE-GGA level.

Cell lengths 3.5745, 3.5745, 10.3037 Å; angles 80.01, 80.01, 60.00 degrees
Each line ends with the local moment (μB).
Element x y z (fractional)
Pu 0.8944 0.8944 0.3167  5.33
Pu 0.1056 0.1056 0.6833  5.33
Th 0.0000 0.0000 0.0000  0.15
Ir 0.5000 0.5000 0.5000  -0.35

Properties
Energy of formation in eV/atom: 0.14
Total magnetization in μB/f.u.: 11.151
Fermi-level density of states in states/eV/f.u.: 15.0
Space-group type: R-3m, No. 166



8.
Below is a relaxed Pu2ThIr9 crystal, with properties calculated at the PBE-GGA level.

Cell lengths 5.3276, 5.3276, 9.3092 Å; angles 73.37, 73.37, 60.00 degrees
Each line ends with the local moment (μB).
Element x y z (fractional)
Ir 0.4152 0.4152 0.2506  -0.23
Ir 0.5848 0.0810 0.7494  -0.23
Ir 0.9190 0.4152 0.2506  -0.23
Ir 0.5848 0.5848 0.7494  -0.23
Ir 0.4152 0.9190 0.2506  -0.23
Ir 0.5000 0.5000 0.5000  -0.34
Ir 0.0810 0.5848 0.7494  -0.23
Ir 0.6665 0.6665 0.0005  -0.12
Ir 0.3335 0.3335 0.9995  -0.12
Pu 0.8595 0.8595 0.4215  4.86
Pu 0.1405 0.1405 0.5785  4.86
Th 0.0000 0.0000 0.0000  0.07

Properties
Energy of formation in eV/atom: -0.52
Total magnetization in μB/f.u.: 8.278
Fermi-level density of states in states/eV/f.u.: 22.9
Space-group type: R-3m, No. 166



9.
Below is a relaxed PuThIr crystal, with properties calculated at the PBE-GGA level.

Cell lengths 3.6450, 3.6450, 5.8126 Å; angles 108.27, 108.27, 90.00 degrees
Each line ends with the local moment (μB).
Element x y z (fractional)
Pu 0.0141 0.0141 0.0283  5.11
Ir 0.6674 0.6674 0.3348  -0.14
Th 0.3185 0.3185 0.6370  0.15

Properties
Energy of formation in eV/atom: -0.38
Total magnetization in μB/f.u.: 5.332
Fermi-level density of states in states/eV/f.u.: 9.0
Space-group type: I4mm, No. 107



10.
Below is a relaxed Pu2ThIr crystal, with properties calculated at the PBE-GGA level.

Cell lengths 3.5861, 3.5861, 7.3875 Å; angles 90.00, 90.00, 90.00 degrees
Each line ends with the local moment (μB).
Element x y z (fractional)
Pu 0.0000 0.0000 0.2041  5.02
Pu 0.0000 0.0000 0.7959  5.02
Ir 0.5000 0.5000 0.0000  -0.35
Th 0.5000 0.5000 0.5000  0.07

Properties
Energy of formation in eV/atom: -0.19
Total magnetization in μB/f.u.: 10.118
Fermi-level density of states in states/eV/f.u.: 14.0
Space-group type: P4/mmm, No. 123



11.
Below is a relaxed PuThIr2 crystal, with properties calculated at the PBE-GGA level.

Cell lengths 4.4040, 4.4040, 5.9844 Å; angles 68.41, 68.41, 60.00 degrees
Each line ends with the local moment (μB).
Element x y z (fractional)
Pu 0.0000 0.0000 0.0000  4.65
Ir 0.7279 0.7279 0.8163  -0.21
Ir 0.2721 0.2721 0.1837  -0.21
Th 0.5000 0.5000 0.5000  0.03

Properties
Energy of formation in eV/atom: -0.63
Total magnetization in μB/f.u.: 4.380
Fermi-level density of states in states/eV/f.u.: 6.3
Space-group type: R-3m, No. 166



12.
Below is a relaxed PuThIr crystal, with properties calculated at the PBE-GGA level.

Cell lengths 5.7397, 7.6758, 7.6759 Å; angles 72.68, 77.86, 77.86 degrees
Each line ends with the local moment (μB).
Element x y z (fractional)
Pu 0.0298 0.7918 0.5419  5.34
Pu 0.0297 0.2918 0.0417  5.34
Pu 0.9702 0.2082 0.4581  5.34
Pu 0.9703 0.7082 0.9583  5.34
Ir 0.1629 0.4034 0.6534  -0.11
Ir 0.8371 0.5966 0.3466  -0.11
Ir 0.1628 0.9036 0.1535  -0.11
Ir 0.8372 0.0964 0.8465  -0.11
Th 0.5840 0.9850 0.2349  0.12
Th 0.5841 0.4848 0.7350  0.12
Th 0.4159 0.5152 0.2650  0.12
Th 0.4160 0.0150 0.7651  0.12

Properties
Energy of formation in eV/atom: -0.49
Total magnetization in μB/f.u.: 5.780
Fermi-level density of states in states/eV/f.u.: 7.4
Space-group type: P2_1/m, No. 11



Question: Which value of Fermi-level density of states does entry 6 give?
Answer: 11.0 states/eV/f.u.



Question: Among the records above, which one has the highest total magnetization?
Answer: number 7



Question: The highest Fermi-level density of states belongs to which entry?
Answer: Pu2ThIr9



Please write out number 2 again, unchanged.
Below is a relaxed PuUTcIr crystal, with properties calculated at the PBE-GGA level.

Cell lengths 4.8018, 4.8018, 4.8018 Å; angles 60.00, 60.00, 60.00 degrees
Each line ends with the local moment (μB).
Element x y z (fractional)
Tc 0.5000 0.5000 0.5000  -0.69
Ir 0.0000 0.0000 0.0000  -0.32
U 0.2500 0.2500 0.2500  1.70
Pu 0.7500 0.7500 0.7500  4.86

Properties
Energy of formation in eV/atom: -0.16
Total magnetization in μB/f.u.: 5.890
Fermi-level density of states in states/eV/f.u.: 8.7
Space-group type: F-43m, No. 216